[1]
# Cd2ReRh, optimized geometry, DFT GGA-PBE
# formation enthalpy at 0 K: 0.489 eV/atom
# energy relative to the lowest polymorph listed for this composition: 403 meV/atom
data_Cd2ReRh
_chemical_formula_sum 'Cd4 Re2 Rh2'
_cell_length_a 5.617
_cell_length_b 8.704
_cell_length_c 2.796
_cell_angle_alpha 90.00
_cell_angle_beta 90.00
_cell_angle_gamma 90.00
_space_group_name_H-M_alt 'C m m m'
_space_group_IT_number 65
_space_group_name_Hall '-C 2 2'
loop_
_atom_site_label
_atom_site_fract_x
_atom_site_fract_y
_atom_site_fract_z
Cd1 0.250 0.250 0.000
Re1 0.000 0.000 0.500
Rh1 0.000 0.500 0.500


[2]
# CdReRh2, optimized geometry, DFT GGA-PBE
# formation enthalpy at 0 K: 0.245 eV/atom
data_CdReRh2
_chemical_formula_sum 'Cd1 Re1 Rh2'
_cell_length_a 4.720
_cell_length_b 4.720
_cell_length_c 2.820
_cell_angle_alpha 90.00
_cell_angle_beta 90.00
_cell_angle_gamma 90.00
_space_group_name_H-M_alt 'P 4/m m m'
_space_group_IT_number 123
_space_group_name_Hall '-P 4 2'
loop_
_atom_site_label
_atom_site_fract_x
_atom_site_fract_y
_atom_site_fract_z
Cd1 0.000 0.000 0.000
Re1 0.500 0.500 0.000
Rh1 0.000 0.500 0.500


[3]
# Cd2ReRh, optimized geometry, DFT GGA-PBE
# formation enthalpy at 0 K: 0.960 eV/atom
# energy relative to the lowest polymorph listed for this composition: 875 meV/atom
data_Cd2ReRh
_chemical_formula_sum 'Cd8 Re4 Rh4'
_cell_length_a 7.565
_cell_length_b 7.565
_cell_length_c 5.278
_cell_angle_alpha 90.00
_cell_angle_beta 90.00
_cell_angle_gamma 90.00
_space_group_name_H-M_alt 'I -4 2 d'
_space_group_IT_number 122
_space_group_name_Hall 'I -4 2bw'
loop_
_atom_site_label
_atom_site_fract_x
_atom_site_fract_y
_atom_site_fract_z
Cd1 0.241 0.750 0.125
Re1 0.000 0.000 0.500
Rh1 0.000 0.000 0.000


[4]
# Cd2ReRh, optimized geometry, DFT GGA-PBE
# formation enthalpy at 0 K: 0.370 eV/atom
# energy relative to the lowest polymorph listed for this composition: 285 meV/atom
data_Cd2ReRh
_chemical_formula_sum 'Cd6 Re3 Rh3'
_cell_length_a 2.8821
_cell_length_b 2.8821
_cell_length_c 28.2809
_cell_angle_alpha 90.00
_cell_angle_beta 90.00
_cell_angle_gamma 120.00
_space_group_name_H-M_alt 'R -3 m'
_space_group_IT_number 166
_space_group_name_Hall '-R 3 2"'
loop_
_atom_site_label
_atom_site_fract_x
_atom_site_fract_y
_atom_site_fract_z
Cd1 0.0000 0.0000 0.2477
Re1 0.0000 0.0000 0.0000
Rh1 0.0000 0.0000 0.5000


[5]
# CdReRh2, optimized geometry, DFT GGA-PBE
# formation enthalpy at 0 K: 0.211 eV/atom
data_CdReRh2
_chemical_formula_sum 'Cd2 Re2 Rh4'
_cell_length_a 2.791
_cell_length_b 4.593
_cell_length_c 10.103
_cell_angle_alpha 90.00
_cell_angle_beta 90.00
_cell_angle_gamma 90.00
_space_group_name_H-M_alt 'I m m 2'
_space_group_IT_number 44
loop_
_space_group_symop_operation_xyz
'x,y,z'
'-x,-y,z'
'-x,y,z'
'x,-y,z'
'x+1/2,y+1/2,z+1/2'
'-x+1/2,-y+1/2,z+1/2'
'-x+1/2,y+1/2,z+1/2'
'x+1/2,-y+1/2,z+1/2'
loop_
_atom_site_label
_atom_site_fract_x
_atom_site_fract_y
_atom_site_fract_z
Cd1 0.000 0.000 0.000
Re1 0.000 0.500 0.231
Rh1 0.000 0.000 0.522
Rh2 0.000 0.500 0.784


[6]
# Cd2ReRh, optimized geometry, DFT GGA-PBE
# formation enthalpy at 0 K: 0.576 eV/atom
# energy relative to the lowest polymorph listed for this composition: 490 meV/atom
data_Cd2ReRh
_chemical_formula_sum 'Cd2 Re1 Rh1'
_cell_length_a 4.855
_cell_length_b 4.855
_cell_length_c 2.907
_cell_angle_alpha 90.00
_cell_angle_beta 90.00
_cell_angle_gamma 90.00
_space_group_name_H-M_alt 'P 4/m m m'
_space_group_IT_number 123
_space_group_name_Hall '-P 4 2'
loop_
_atom_site_label
_atom_site_fract_x
_atom_site_fract_y
_atom_site_fract_z
Cd1 0.000 0.500 0.000
Re1 0.000 0.000 0.500
Rh1 0.500 0.500 0.500


[7]
# Cd2ReRh, optimized geometry, DFT GGA-PBE
# formation enthalpy at 0 K: 0.150 eV/atom
# energy relative to the lowest polymorph listed for this composition: 65 meV/atom
data_Cd2ReRh
_chemical_formula_sum 'Cd6 Re3 Rh3'
_cell_length_a 2.8577
_cell_length_b 2.8577
_cell_length_c 29.7073
_cell_angle_alpha 90.00
_cell_angle_beta 90.00
_cell_angle_gamma 120.00
_space_group_name_H-M_alt 'R 3 m'
_space_group_IT_number 160
_space_group_name_Hall 'R 3 -2"'
loop_
_atom_site_label
_atom_site_fract_x
_atom_site_fract_y
_atom_site_fract_z
Cd1 0.0000 0.0000 0.0000
Cd2 0.0000 0.0000 0.2355
Re1 0.0000 0.0000 0.7516
Rh1 0.0000 0.0000 0.4866


[8]
# CdRe2Rh, optimized geometry, DFT GGA-PBE
# formation enthalpy at 0 K: 0.123 eV/atom
data_CdRe2Rh
_chemical_formula_sum 'Cd3 Re6 Rh3'
_cell_length_a 2.8180
_cell_length_b 2.8180
_cell_length_c 27.7004
_cell_angle_alpha 90.00
_cell_angle_beta 90.00
_cell_angle_gamma 120.00
_space_group_name_H-M_alt 'R 3 m'
_space_group_IT_number 160
_space_group_name_Hall 'R 3 -2"'
loop_
_atom_site_label
_atom_site_fract_x
_atom_site_fract_y
_atom_site_fract_z
Cd1 0.0000 0.0000 0.0000
Re1 0.0000 0.0000 0.5019
Re2 0.0000 0.0000 0.7585
Rh1 0.0000 0.0000 0.2465


[9]
# CdReRh2, optimized geometry, DFT GGA-PBE
# formation enthalpy at 0 K: 0.287 eV/atom
data_CdReRh2
_chemical_formula_sum 'Cd2 Re2 Rh4'
_cell_length_a 3.852
_cell_length_b 3.852
_cell_length_c 8.351
_cell_angle_alpha 90.00
_cell_angle_beta 90.00
_cell_angle_gamma 90.00
_space_group_name_H-M_alt 'I -4 m 2'
_space_group_IT_number 119
_space_group_name_Hall 'I -4 -2'
loop_
_atom_site_label
_atom_site_fract_x
_atom_site_fract_y
_atom_site_fract_z
Cd1 0.000 0.000 0.000
Re1 0.000 0.500 0.750
Rh1 0.000 0.000 0.500
Rh2 0.000 0.500 0.250


[10]
# Cd2ReRh, optimized geometry, DFT GGA-PBE
# formation enthalpy at 0 K: 0.449 eV/atom
# energy relative to the lowest polymorph listed for this composition: 364 meV/atom
data_Cd2ReRh
_chemical_formula_sum 'Cd2 Re1 Rh1'
_cell_length_a 2.803
_cell_length_b 4.754
_cell_length_c 5.126
_cell_angle_alpha 90.00
_cell_angle_beta 95.53
_cell_angle_gamma 90.00
_space_group_name_H-M_alt 'P 1 2/m 1'
_space_group_IT_number 10
loop_
_space_group_symop_operation_xyz
'x,y,z'
'-x,-y,-z'
'-x,y,-z'
'x,-y,z'
loop_
_atom_site_label
_atom_site_fract_x
_atom_site_fract_y
_atom_site_fract_z
Cd1 0.225 0.000 0.253
Re1 0.500 0.500 0.000
Rh1 0.000 0.500 0.500


[11]
# Cd2ReRh, optimized geometry, DFT GGA-PBE
# formation enthalpy at 0 K: 0.397 eV/atom
# energy relative to the lowest polymorph listed for this composition: 312 meV/atom
data_Cd2ReRh
_chemical_formula_sum 'Cd4 Re2 Rh2'
_cell_length_a 3.088
_cell_length_b 4.664
_cell_length_c 9.447
_cell_angle_alpha 90.00
_cell_angle_beta 90.00
_cell_angle_gamma 90.00
_space_group_name_H-M_alt 'C m m m'
_space_group_IT_number 65
_space_group_name_Hall '-C 2 2'
loop_
_atom_site_label
_atom_site_fract_x
_atom_site_fract_y
_atom_site_fract_z
Cd1 0.000 0.000 0.242
Re1 0.000 0.500 0.500
Rh1 0.000 0.500 0.000


[12]
# CdRe2Rh, optimized geometry, DFT GGA-PBE
# formation enthalpy at 0 K: 0.405 eV/atom
data_CdRe2Rh
_chemical_formula_sum 'Cd2 Re4 Rh2'
_cell_length_a 3.790
_cell_length_b 3.790
_cell_length_c 8.748
_cell_angle_alpha 90.00
_cell_angle_beta 90.00
_cell_angle_gamma 90.00
_space_group_name_H-M_alt 'I 4/m m m'
_space_group_IT_number 139
_space_group_name_Hall '-I 4 2'
loop_
_atom_site_label
_atom_site_fract_x
_atom_site_fract_y
_atom_site_fract_z
Cd1 0.000 0.000 0.000
Re1 0.000 0.500 0.250
Rh1 0.000 0.000 0.500


[13]
# CdReRh2, optimized geometry, DFT GGA-PBE
# formation enthalpy at 0 K: 0.499 eV/atom
data_CdReRh2
_chemical_formula_sum 'Cd4 Re4 Rh8'
_cell_length_a 6.308
_cell_length_b 6.308
_cell_length_c 6.308
_cell_angle_alpha 90.00
_cell_angle_beta 90.00
_cell_angle_gamma 90.00
_space_group_name_H-M_alt 'F -4 3 m'
_space_group_IT_number 216
_space_group_name_Hall 'F -4 2 3'
loop_
_atom_site_label
_atom_site_fract_x
_atom_site_fract_y
_atom_site_fract_z
Cd1 0.000 0.000 0.000
Re1 0.250 0.250 0.250
Rh1 0.000 0.000 0.500
Rh2 0.250 0.250 0.750


[14]
# CdRe2Rh, optimized geometry, DFT GGA-PBE
# formation enthalpy at 0 K: 0.381 eV/atom
data_CdRe2Rh
_chemical_formula_sum 'Cd1 Re2 Rh1'
_cell_length_a 2.721
_cell_length_b 2.721
_cell_length_c 8.549
_cell_angle_alpha 90.00
_cell_angle_beta 90.00
_cell_angle_gamma 90.00
_space_group_name_H-M_alt 'P 4/m m m'
_space_group_IT_number 123
_space_group_name_Hall '-P 4 2'
loop_
_atom_site_label
_atom_site_fract_x
_atom_site_fract_y
_atom_site_fract_z
Cd1 0.000 0.000 0.000
Re1 0.500 0.500 0.271
Rh1 0.000 0.000 0.500


[15]
# CdRe2Rh, optimized geometry, DFT GGA-PBE
# formation enthalpy at 0 K: 0.334 eV/atom
data_CdRe2Rh
_chemical_formula_sum 'Cd2 Re4 Rh2'
_cell_length_a 9.321
_cell_length_b 2.721
_cell_length_c 5.069
_cell_angle_alpha 90.00
_cell_angle_beta 98.71
_cell_angle_gamma 90.00
_space_group_name_H-M_alt 'C 1 m 1'
_space_group_IT_number 8
loop_
_space_group_symop_operation_xyz
'x,y,z'
'x,-y,z'
'x+1/2,y+1/2,z'
'x+1/2,-y+1/2,z'
loop_
_atom_site_label
_atom_site_fract_x
_atom_site_fract_y
_atom_site_fract_z
Cd1 0.000 0.000 0.000
Re1 0.238 0.000 0.695
Re2 0.480 0.000 0.499
Rh1 0.255 0.500 0.225


Number 1: calculated volume 68.3 Å³/f.u., N(E_F) 10.3 states/eV per cell, electronic total energy -4.919 eV per atom. Number 2: calculated volume 62.8 Å³/f.u., N(E_F) 5.4 states/eV per cell, electronic total energy -6.771 eV per atom. Number 3: calculated volume 75.5 Å³/f.u., N(E_F) 14.9 states/eV per cell, electronic total energy -4.447 eV per atom. Number 4: calculated volume 67.8 Å³/f.u., N(E_F) 11.0 states/eV per cell, electronic total energy -5.037 eV per atom. Number 5: calculated volume 64.7 Å³/f.u., N(E_F) 4.7 states/eV per cell, electronic total energy -6.805 eV per atom. Number 6: calculated volume 68.5 Å³/f.u., N(E_F) 4.8 states/eV per cell, electronic total energy -4.832 eV per atom. Number 7: calculated volume 70.0 Å³/f.u., N(E_F) 10.0 states/eV per cell, electronic total energy -5.257 eV per atom. Number 8: calculated volume 63.5 Å³/f.u., N(E_F) 18.1 states/eV per cell, electronic total energy -8.167 eV per atom. Number 9: calculated volume 61.9 Å³/f.u., N(E_F) 7.7 states/eV per cell, electronic total energy -6.730 eV per atom. Number 10: calculated volume 68.0 Å³/f.u., N(E_F) 3.6 states/eV per cell, electronic total energy -4.958 eV per atom. Number 11: calculated volume 68.0 Å³/f.u., N(E_F) 5.3 states/eV per cell, electronic total energy -5.010 eV per atom. Number 12: calculated volume 62.8 Å³/f.u., N(E_F) 6.2 states/eV per cell, electronic total energy -7.885 eV per atom. Number 13: calculated volume 62.7 Å³/f.u., N(E_F) 29.0 states/eV per cell, electronic total energy -6.518 eV per atom. Number 14: calculated volume 63.3 Å³/f.u., N(E_F) 4.6 states/eV per cell, electronic total energy -7.910 eV per atom. Number 15: calculated volume 63.5 Å³/f.u., N(E_F) 6.8 states/eV per cell, electronic total energy -7.956 eV per atom.